DFT (PBE with a Hubbard U) results for a geometry-optimized AcCrGaO6 structure.

Energy, eV/atom: -6.828
Density, g/cm³: 6.1

Geometry as POSCAR:
```
AcCrGaO6
1.0
5.1281 0.0000 0.0000
-2.5641 4.4411 0.0000
0.0000 0.0000 5.2808
Ac Cr Ga O
1 1 1 6
Cartesian
0.0000 0.0000 0.0000
2.5641 1.4804 2.6404
0.0000 2.9607 2.6404
1.9916 0.0854 3.7177
1.0697 1.6821 1.5631
3.1365 0.0854 1.5631
1.6422 2.6736 3.7177
4.0584 1.6821 3.7177
3.4859 2.6736 1.5631
```